A relaxed HgIrC2 crystal, computed with PBE.

Values from the calculation:
- space-group type = I-42d, No. 122
- crystal system = tetragonal
- formation energy (eV per formula unit) = 4.79
- ρ (Mg/m³) = 11.316
- volume (Å³ per cell) = 122

```
HgIrC2
1.0
-3.174 2.273 -3.314
2.560 -2.112 -3.900
-3.129 -3.631 -3.449
Hg C Ir
2 4 2
direct
0.750 0.250 0.500 Hg
0.000 0.000 0.000 Hg
0.375 0.452 0.750 C
0.548 0.125 0.250 C
0.875 0.798 0.750 C
0.202 0.625 0.250 C
0.250 0.750 0.500 Ir
0.500 0.500 0.000 Ir
```

***

A relaxed Hg2GePd crystal, computed with PBE.

Values from the calculation:
- space-group type = I-42d, No. 122
- crystal system = tetragonal
- formation energy (eV per formula unit) = 0.70
- ρ (Mg/m³) = 11.278
- volume (Å³ per cell) = 171

```
Hg2GePd
1.0
7.845 0.000 0.000
0.000 7.845 0.000
3.923 3.923 2.776
Ge Hg Pd
2 4 2
direct
0.500 0.500 0.000 Ge
0.250 0.750 0.500 Ge
0.123 0.625 0.250 Hg
0.627 0.125 0.250 Hg
0.375 0.373 0.750 Hg
0.875 0.877 0.750 Hg
0.750 0.250 0.500 Pd
0.000 0.000 0.000 Pd
```

***

A relaxed CaPr2Y4Er crystal, computed with PBE.

Values from the calculation:
- space-group type = C2/m, No. 12
- crystal system = monoclinic
- formation energy (eV per formula unit) = 0.44
- ρ (Mg/m³) = 5.181
- volume (Å³ per cell) = 541

```
CaPr2Y4Er
1.0
12.165 -0.561 -3.196
0.242 7.250 -0.352
-8.762 -2.952 8.566
Y Pr Ca Er
8 4 2 2
direct
0.753 0.247 0.503 Y
0.751 0.750 0.007 Y
0.252 0.747 0.002 Y
0.250 0.250 0.507 Y
0.249 0.250 0.993 Y
0.750 0.750 0.493 Y
0.247 0.753 0.497 Y
0.748 0.253 0.998 Y
0.500 0.000 0.500 Pr
0.500 0.000 0.000 Pr
0.500 0.500 0.000 Pr
0.000 0.000 0.500 Pr
0.500 0.500 0.500 Ca
0.000 0.000 0.000 Ca
0.000 0.500 0.000 Er
0.000 0.500 0.500 Er
```

***

A relaxed Zn2FeRh crystal, computed with PBE.

Values from the calculation:
- space-group type = Cmmm, No. 65
- crystal system = orthorhombic
- formation energy (eV per formula unit) = -0.13
- ρ (Mg/m³) = 8.814
- volume (Å³ per cell) = 55

```
Zn2FeRh
1.0
-1.578 -0.374 -2.102
-0.128 -2.020 1.718
-6.254 3.810 4.017
Zn Rh Fe
2 1 1
direct
0.000 0.000 0.497 Zn
0.000 0.000 0.003 Zn
0.500 0.500 0.750 Rh
0.500 0.500 0.250 Fe
```

***

A relaxed BaIn2Se crystal, computed with PBE.

Values from the calculation:
- formation energy (no corrections) (eV per atom) = -0.52
- space-group type = F-43m, No. 216
- crystal system = cubic
- ρ (Mg/m³) = 6.071
- volume (Å³ per cell) = 122

```
BaIn2Se
1.0
-5.076 -2.114 0.870
-2.444 -3.082 -3.939
-0.642 -5.478 0.752
In Ba Se
2 1 1
direct
0.000 0.000 0.000 In
0.250 0.250 0.250 In
0.500 0.500 0.500 Ba
0.750 0.750 0.750 Se
```

***

A relaxed Tb3Pm5Ho3 crystal, computed with PBE.

Values from the calculation:
- space-group type = P-62m, No. 189
- crystal system = hexagonal
- energy above the most stable polymorph in this dataset (eV per atom) = 0.000
- formation energy (eV per formula unit) = 3.55
- ρ (Mg/m³) = 7.461
- volume (Å³ per cell) = 378

```
Tb3Pm5Ho3
1.0
3.451 0.000 0.000
0.000 9.735 -5.620
0.000 0.000 11.241
Ho Pm Tb
3 5 3
direct
0.000 0.000 0.595 Ho
0.000 0.595 0.000 Ho
0.000 0.405 0.405 Ho
0.500 0.660 0.660 Pm
0.500 0.340 0.000 Pm
0.500 0.333 0.667 Pm
0.500 0.667 0.333 Pm
0.500 0.000 0.340 Pm
0.500 0.840 0.000 Tb
0.500 0.160 0.160 Tb
0.500 0.000 0.840 Tb
```

***

A relaxed PrZnAg4 crystal, computed with PBE.

Values from the calculation:
- space-group type = Pmma, No. 51
- crystal system = orthorhombic
- energy above the most stable polymorph in this dataset (eV per atom) = 0.000
- formation energy (eV per formula unit) = -0.77
- ρ (Mg/m³) = 8.529
- volume (Å³ per cell) = 248

```
PrZnAg4
1.0
4.057 0.000 0.000
0.000 7.444 0.000
0.000 0.000 8.224
Ag Pr Zn
8 2 2
direct
0.000 0.000 0.500 Ag
0.500 0.054 0.250 Ag
0.500 0.946 0.750 Ag
0.500 0.688 0.446 Ag
0.500 0.312 0.554 Ag
0.500 0.312 0.946 Ag
0.000 0.000 0.000 Ag
0.500 0.688 0.054 Ag
0.000 0.607 0.750 Pr
0.000 0.393 0.250 Pr
0.000 0.794 0.250 Zn
0.000 0.206 0.750 Zn
```

***

A relaxed Sr4ReMo crystal, computed with PBE.

Values from the calculation:
- space-group type = F-43m, No. 216
- crystal system = cubic
- formation energy (eV per formula unit) = 11.13
- ρ (Mg/m³) = 5.101
- volume (Å³ per cell) = 206

```
Sr4ReMo
1.0
0.000 4.687 4.687
4.687 0.000 4.687
4.687 4.687 0.000
Sr Mo Re
4 1 1
direct
0.876 0.375 0.375 Sr
0.375 0.375 0.876 Sr
0.375 0.375 0.375 Sr
0.375 0.876 0.375 Sr
0.750 0.750 0.750 Mo
0.000 0.000 0.000 Re
```